Computed, not measured: CsMnTlCl6 after structural relaxation at the PBE level of DFT.

a = 6.789 Å, b = 6.789 Å, c = 7.786 Å
α = 90.00°, β = 90.00°, γ = 120.00°
Sites, in units of the cell vectors:
Cs: 0.000 0.000 0.000
Mn: 0.333 0.667 0.500
Tl: 0.667 0.333 0.500
Cl: 0.011 0.384 0.691
Cl: 0.011 0.627 0.309
Cl: 0.373 0.384 0.309
Cl: 0.373 0.989 0.691
Cl: 0.616 0.627 0.691
Cl: 0.616 0.989 0.309

Values from the calculation:
- ΔE_f (raw) (eV/atom) = -1.1463
- final energy (eV for the cell shown) = -33.79
- density (g/cm³) = 3.2
- space-group type = P312

---

Computed, not measured: Cs2MnTl2Cl6 after structural relaxation at the PBE level of DFT.

a = 8.059 Å, b = 8.059 Å, c = 7.464 Å
α = 99.22°, β = 99.22°, γ = 115.97°
Sites, in units of the cell vectors:
Cs: 0.157 0.843 0.000
Cs: 0.843 0.157 0.000
Mn: 0.500 0.500 0.000
Tl: 0.339 0.661 0.500
Tl: 0.661 0.339 0.500
Cl: 0.183 0.446 0.799
Cl: 0.323 0.323 0.237
Cl: 0.446 0.183 0.799
Cl: 0.554 0.817 0.201
Cl: 0.677 0.677 0.763
Cl: 0.817 0.554 0.201

Values from the calculation:
- ΔE_f (raw) (eV/atom) = -1.3613
- final energy (eV for the cell shown) = -41.66
- density (g/cm³) = 3.8
- space-group type = C2/m

---

Computed, not measured: CsTm2MnCl8 after structural relaxation at the PBE level of DFT.

a = 9.733 Å, b = 9.733 Å, c = 9.733 Å
α = 39.79°, β = 39.79°, γ = 39.79°
Sites, in units of the cell vectors:
Cs: 0.000 0.000 0.000
Tm: 0.196 0.196 0.196
Tm: 0.804 0.804 0.804
Mn: 0.500 0.500 0.500
Cl: 0.179 0.383 0.802
Cl: 0.198 0.821 0.617
Cl: 0.291 0.291 0.291
Cl: 0.383 0.802 0.179
Cl: 0.617 0.198 0.821
Cl: 0.709 0.709 0.709
Cl: 0.802 0.179 0.383
Cl: 0.821 0.617 0.198

Values from the calculation:
- ΔE_f (raw) (eV/atom) = -1.6858
- final energy (eV for the cell shown) = -53.97
- density (g/cm³) = 4.0
- space-group type = R-3

---

Computed, not measured: CsTmMnCl6 after structural relaxation at the PBE level of DFT.

a = 6.783 Å, b = 6.783 Å, c = 7.786 Å
α = 90.00°, β = 90.00°, γ = 120.00°
Sites, in units of the cell vectors:
Cs: 0.000 0.000 0.000
Tm: 0.667 0.333 0.500
Mn: 0.333 0.667 0.500
Cl: 0.007 0.384 0.691
Cl: 0.007 0.623 0.309
Cl: 0.377 0.384 0.309
Cl: 0.377 0.993 0.691
Cl: 0.616 0.623 0.691
Cl: 0.616 0.993 0.309

Values from the calculation:
- ΔE_f (raw) (eV/atom) = -1.8677
- final energy (eV for the cell shown) = -42.38
- density (g/cm³) = 3.0
- space-group type = P312

---

Computed, not measured: CsUMn2Cl8 after structural relaxation at the PBE level of DFT.

a = 10.890 Å, b = 10.890 Å, c = 10.890 Å
α = 35.74°, β = 35.74°, γ = 35.74°
Sites, in units of the cell vectors:
Cs: 0.000 0.000 0.000
U: 0.500 0.500 0.500
Mn: 0.247 0.247 0.247
Mn: 0.753 0.753 0.753
Cl: 0.116 0.781 0.443
Cl: 0.219 0.557 0.884
Cl: 0.321 0.321 0.321
Cl: 0.443 0.116 0.781
Cl: 0.557 0.884 0.219
Cl: 0.679 0.679 0.679
Cl: 0.781 0.443 0.116
Cl: 0.884 0.219 0.557

Values from the calculation:
- ΔE_f (raw) (eV/atom) = -1.4309
- final energy (eV for the cell shown) = -62.42
- density (g/cm³) = 3.2
- space-group type = R-3

---

Computed, not measured: CsMnVCl6 after structural relaxation at the PBE level of DFT.

a = 6.476 Å, b = 6.476 Å, c = 7.810 Å
α = 90.00°, β = 90.00°, γ = 120.00°
Sites, in units of the cell vectors:
Cs: 0.000 0.000 0.000
Mn: 0.667 0.333 0.500
V: 0.333 0.667 0.500
Cl: 0.014 0.382 0.678
Cl: 0.014 0.633 0.322
Cl: 0.367 0.382 0.322
Cl: 0.367 0.986 0.678
Cl: 0.618 0.633 0.678
Cl: 0.618 0.986 0.322

Values from the calculation:
- ΔE_f (raw) (eV/atom) = -1.3763
- final energy (eV for the cell shown) = -42.61
- density (g/cm³) = 2.6
- space-group type = P312

---

Question: Which of these has the lowest ΔE_f (raw)?
Answer: CsTmMnCl6